(a)
Na2LiSbF6 | Alexandria | PBE | relaxed; total magnetization = 0.00 μB per cell; space group = P2_1/c (14)
1.0
5.606 0.000 0.000
0.000 5.772 0.000
-5.153 0.000 8.422
Na Li Sb F
4 2 2 12
Direct
0.210 0.058 0.241
0.210 0.442 0.741
0.790 0.558 0.259
0.790 0.942 0.759
0.000 0.000 0.500
0.000 0.500 0.000
0.500 0.000 0.000
0.500 0.500 0.500
0.125 0.210 0.936
0.125 0.290 0.436
0.215 0.698 0.924
0.215 0.802 0.424
0.387 0.061 0.752
0.387 0.439 0.252
0.613 0.561 0.748
0.613 0.939 0.248
0.785 0.198 0.576
0.785 0.302 0.076
0.875 0.710 0.564
0.875 0.790 0.064

(b)
Na2LiSbF6 | Alexandria | PBE | relaxed; total magnetization = 0.00 μB per cell; space group = Fm-3m (225)
1.0
0.000 4.195 4.195
4.195 0.000 4.195
4.195 4.195 0.000
Na Li Sb F
2 1 1 6
Direct
0.250 0.250 0.250
0.750 0.750 0.750
0.000 0.000 0.000
0.500 0.500 0.500
0.241 0.241 0.759
0.241 0.759 0.241
0.241 0.759 0.759
0.759 0.241 0.241
0.759 0.241 0.759
0.759 0.759 0.241

Winner for stability: (a)

(a)
Na2LiSeF | Alexandria | PBE | relaxed; total magnetization = 0.00 μB per cell; space group = P4/mmm (123)
1.0
4.517 0.000 0.000
0.000 4.517 0.000
0.000 0.000 4.166
Na Li Se F
2 1 1 1
Direct
0.000 0.500 0.000
0.500 0.000 0.000
0.000 0.000 0.500
0.500 0.500 0.500
0.000 0.000 0.000

(b)
Na2LiSeF | Alexandria | PBE | relaxed; total magnetization = 0.00 μB per cell; space group = P4/mmm (123)
1.0
5.452 0.000 0.000
0.000 5.452 0.000
0.000 0.000 4.170
Na Li Se F
2 1 1 1
Direct
0.000 0.500 0.000
0.500 0.000 0.000
0.000 0.000 0.000
0.000 0.000 0.500
0.500 0.500 0.500

Winner for stability: (a)

(a)
Na2LiYF6 | Alexandria | PBE | relaxed; total magnetization = 0.39 μB per cell; space group = P2_1/c (14)
1.0
5.562 0.000 0.000
0.000 5.711 0.000
-4.960 0.000 8.559
Na Li Y F
4 2 2 12
Direct
0.199 0.056 0.240
0.199 0.444 0.740
0.801 0.556 0.260
0.801 0.944 0.760
0.000 0.000 0.500
0.000 0.500 0.000
0.500 0.000 0.000
0.500 0.500 0.500
0.132 0.215 0.936
0.132 0.285 0.436
0.207 0.705 0.920
0.207 0.795 0.420
0.406 0.067 0.759
0.406 0.433 0.259
0.594 0.567 0.741
0.594 0.933 0.241
0.793 0.205 0.580
0.793 0.295 0.080
0.868 0.715 0.564
0.868 0.785 0.064

(b)
Na2LiYF6 | Alexandria | PBE | relaxed; total magnetization = 0.00 μB per cell; space group = Fm-3m (225)
1.0
0.000 4.177 4.177
4.177 0.000 4.177
4.177 4.177 0.000
Na Li Y F
2 1 1 6
Direct
0.250 0.250 0.250
0.750 0.750 0.750
0.000 0.000 0.000
0.500 0.500 0.500
0.241 0.241 0.759
0.241 0.759 0.241
0.241 0.759 0.759
0.759 0.241 0.241
0.759 0.241 0.759
0.759 0.759 0.241

Winner for stability: (a)

(a)
LiNb2F | Alexandria | PBE | relaxed; total magnetization = 0.00 μB per cell; space group = I4_1/amd (141)
1.0
-2.448 2.448 7.388
2.448 -2.448 7.388
2.448 2.448 -7.388
Li Nb F
2 4 2
Direct
0.375 0.625 0.750
0.625 0.375 0.250
0.000 0.000 0.000
0.000 0.000 0.500
0.000 0.500 0.000
0.500 0.000 0.500
0.125 0.875 0.250
0.875 0.125 0.750

(b)
LiNb2F | Alexandria | PBE | relaxed; total magnetization = 0.00 μB per cell; space group = Fm-3m (225)
1.0
0.000 3.077 3.077
3.077 0.000 3.077
3.077 3.077 0.000
Li Nb F
1 2 1
Direct
0.000 0.000 0.000
0.250 0.250 0.250
0.750 0.750 0.750
0.500 0.500 0.500

Winner for stability: (b)

(a)
LiNbF2 | Alexandria | PBE | relaxed; total magnetization = 0.00 μB per cell; space group = I-42d (122)
1.0
-2.457 2.457 4.259
2.457 -2.457 4.259
2.457 2.457 -4.259
Li Nb F
2 2 4
Direct
0.000 0.000 0.000
0.750 0.250 0.500
0.250 0.750 0.500
0.500 0.500 0.000
0.045 0.625 0.920
0.375 0.295 0.420
0.705 0.125 0.080
0.875 0.955 0.580

(b)
LiNbF2 | Alexandria | PBE | relaxed; total magnetization = 0.00 μB per cell; space group = R-3m (166)
1.0
1.467 0.847 7.120
-1.467 0.847 7.120
0.000 -1.694 7.120
Li Nb F
1 1 2
Direct
0.000 0.000 0.000
0.500 0.500 0.500
0.092 0.092 0.092
0.908 0.908 0.908

Winner for stability: (b)

(a)
Li2NbF | Alexandria | PBE | relaxed; total magnetization = 4.54 μB per cell; space group = Fm-3m (225)
1.0
0.000 3.314 3.314
3.314 0.000 3.314
3.314 3.314 0.000
Li Nb F
2 1 1
Direct
0.250 0.250 0.250
0.750 0.750 0.750
0.000 0.000 0.000
0.500 0.500 0.500

(b)
Li2NbF | Alexandria | PBE | relaxed; total magnetization = 1.94 μB per cell; space group = I-42d (122)
1.0
-2.803 2.803 3.868
2.803 -2.803 3.868
2.803 2.803 -3.868
Li Nb F
4 2 2
Direct
0.375 0.194 0.319
0.806 0.125 0.181
0.875 0.056 0.681
0.944 0.625 0.819
0.250 0.750 0.500
0.500 0.500 0.000
0.000 0.000 0.000
0.750 0.250 0.500

Winner for stability: (b)